No. 1
Density functional theory data (GGA-PBE) for a relaxed RbSn2SbCl8 crystal.

Results
Uncorrected energy = -3.4307 eV/atom

POSCAR file:
```
RbSn2SbCl8
1.0
-1.839 -4.821 -4.687
6.219 -1.128 -1.733
0.669 -6.882 5.894
Rb Sn Sb Cl
1 2 1 8
direct
0.000 0.000 0.500
0.479 0.485 0.753
0.521 0.515 0.247
0.000 0.000 0.000
0.182 0.780 0.204
0.691 0.763 0.039
0.858 0.254 0.212
0.818 0.220 0.796
0.309 0.237 0.961
0.142 0.746 0.788
0.631 0.719 0.459
0.369 0.281 0.541
```

=====

No. 2
Density functional theory data (GGA-PBE) for a relaxed Rb2SnSbCl6 crystal.

Results
Uncorrected energy = -3.3285 eV/atom

POSCAR file:
```
Rb2SnSbCl6
1.0
7.853 0.000 0.000
0.000 7.853 0.000
3.926 3.926 5.589
Sb Sn Rb Cl
1 1 2 6
direct
0.000 0.000 0.000
0.500 0.500 0.000
0.750 0.250 0.500
0.250 0.750 0.500
0.248 0.248 0.504
0.752 0.752 0.496
0.247 0.247 0.000
0.753 0.753 0.000
0.753 0.247 0.000
0.247 0.753 0.000
```

=====

No. 3
Density functional theory data (GGA-PBE) for a relaxed Rb2SrSbCl6 crystal.

Results
E above lowest polymorph = 0.00 eV per formula unit

POSCAR file:
```
Rb2SrSbCl6
1.0
7.088 0.010 0.184
-0.011 7.663 0.002
-3.400 -3.839 6.796
Rb Sr Sb Cl
2 1 1 6
direct
0.714 0.211 0.485
0.286 0.725 0.514
0.500 0.503 0.000
0.000 0.995 0.000
0.717 0.675 0.844
0.799 0.745 0.388
0.317 0.307 0.151
0.683 0.156 0.848
0.201 0.357 0.612
0.283 0.830 0.155
```

=====

No. 4
Density functional theory data (GGA-PBE) for a relaxed Rb2SrSbCl6 crystal.

Results
E above lowest polymorph = 0.54 eV per formula unit

POSCAR file:
```
Rb2SrSbCl6
1.0
7.795 0.000 0.000
0.000 7.795 0.000
3.898 3.898 6.258
Sb Cl Rb Sr
1 6 2 1
direct
0.000 0.000 0.000
0.274 0.274 0.452
0.726 0.726 0.548
0.241 0.241 0.000
0.759 0.759 0.000
0.759 0.241 0.000
0.241 0.759 0.000
0.750 0.250 0.500
0.250 0.750 0.500
0.500 0.500 0.000
```

=====

No. 5
Density functional theory data (GGA-PBE) for a relaxed RbSr2SbCl8 crystal.

Results
Uncorrected energy = -3.7587 eV/atom

POSCAR file:
```
RbSr2SbCl8
1.0
6.802 -0.012 -0.004
0.032 6.610 -0.007
0.006 0.010 9.142
Rb Sr Sb Cl
1 2 1 8
direct
0.000 0.000 0.500
0.500 0.500 0.750
0.500 0.500 0.250
0.000 0.000 0.000
0.160 0.769 0.208
0.680 0.744 0.000
0.840 0.231 0.207
0.840 0.231 0.792
0.320 0.256 0.000
0.160 0.769 0.793
0.626 0.726 0.500
0.374 0.274 0.500
```

=====

No. 6
Density functional theory data (GGA-PBE) for a relaxed Rb2TaSbCl crystal.

Results
Uncorrected energy = -3.4714 eV/atom

POSCAR file:
```
Rb2TaSbCl
1.0
-6.076 -0.540 0.354
0.495 -3.573 3.050
-0.081 3.960 4.652
Sb Cl Rb Ta
1 1 2 1
direct
0.500 0.500 0.500
0.000 0.000 0.000
0.000 0.000 0.500
0.500 0.000 0.000
0.000 0.500 0.000
```

=====

Number 1: M_tot 0.0 μB per formula unit. Number 2: M_tot 0.0 μB per formula unit. Number 3: M_tot 1.0 μB per formula unit. Number 4: M_tot 1.0 μB per formula unit. Number 5: M_tot 0.0 μB per formula unit. Number 6: M_tot 0.0 μB per formula unit.